## Rb5SI2Br (PBE-GGA)

Data for crystalline Rb5SI2Br at its relaxed geometry.

Output
crystal system: orthorhombic
ΔE_f (raw): -129.1 kJ/mol of atoms

Lattice parameters (Å, degrees): 5.1043 21.1762 17.1633 90.00 90.00 90.00
Last column: nearest neighbours and their distance in Å.
Space group Cmc2_1 (No. 36)
Unique sites:
Rb 0.0000 0.0079 0.0000 [4 per cell]  1 Br 3.28, 2 I 3.67
Rb 0.0000 0.1147 0.2279 [4 per cell]  1 S 3.18, 1 Br 3.54
Rb 0.0000 0.2147 0.6486 [4 per cell]  2 S 3.24, 1 Br 3.58
Rb 0.0000 0.2491 0.8810 [4 per cell]  2 S 3.29
Rb 0.0000 0.4105 0.2936 [4 per cell]  1 S 3.18, 2 Br 3.35
S 0.0000 0.2624 0.2613 [4 per cell]  6 Rb 3.18-3.29
I 0.0000 0.3628 0.5180 [4 per cell]  6 Rb 3.76-4.20
I 0.0000 0.4263 0.8843 [4 per cell]  6 Rb 3.67-3.80
Br 0.0000 0.0476 0.6784 [4 per cell]  5 Rb 3.28-3.58